# 1
PBE CdPb2Cl2O2, optimized geometry; total moment = 0.0 μB per cell; energy relative to the elements, uncorrected = -1.01 eV/atom; V = 21.15 Å³ per atom
1.0
4.387 0.000 0.000
0.000 4.387 0.000
-2.193 -2.193 7.694
Cd Pb Cl O
1 2 2 2
direct
0.000 0.000 0.000
0.392 0.392 0.785
0.608 0.608 0.215
0.183 0.183 0.365
0.817 0.817 0.635
0.000 0.500 0.000
0.500 0.000 0.000



# 2
PBE CdPbCl2O, optimized geometry; total moment = 0.0 μB per cell; energy relative to the elements, uncorrected = -1.09 eV/atom; V = 23.22 Å³ per atom
1.0
-0.034 -3.042 -2.302
-1.980 -2.439 6.415
-8.460 1.608 -2.001
Cd Pb Cl O
2 2 4 2
direct
0.000 0.000 0.500
0.000 0.000 0.000
0.327 0.654 0.750
0.673 0.346 0.250
0.630 0.259 0.566
0.370 0.741 0.434
0.370 0.741 0.066
0.630 0.259 0.934
0.929 0.857 0.750
0.071 0.143 0.250



# 3
PBE CdPbClO2, optimized geometry; total moment = 0.7 μB per cell; energy relative to the elements, uncorrected = -0.14 eV/atom; V = 21.58 Å³ per atom
1.0
4.190 0.000 0.000
0.000 6.145 0.000
0.000 0.000 4.190
Pb Cl O Cd
1 1 2 1
direct
0.000 0.500 0.000
0.500 0.500 0.500
0.000 0.000 0.500
0.500 0.000 0.000
0.000 0.000 0.000



# 4
PBE CdPt2ClO, optimized geometry; total moment = 0.0 μB per cell; energy relative to the elements, uncorrected = 1.14 eV/atom; V = 22.35 Å³ per atom
1.0
4.381 0.000 0.000
0.000 5.823 0.000
0.000 0.000 4.381
Cl O Pt Cd
1 1 2 1
direct
0.000 0.000 0.000
0.500 0.500 0.500
0.000 0.000 0.500
0.500 0.000 0.000
0.000 0.500 0.000